1.
AcNiP2S8 after structural relaxation, computed with PBE-GGA.

Cell: 5.808 5.808 8.367 Å, 90.00 90.00 120.00°
Each line ends with the local moment (μB).
Element x y z (fractional)
S 0.004 0.689 0.323  0.03
S 0.315 0.004 0.677  0.03
S 0.996 0.311 0.677  0.03
S 0.667 0.333 0.017  0.01
S 0.311 0.315 0.323  0.03
S 0.685 0.996 0.323  0.03
S 0.333 0.667 0.983  0.01
S 0.689 0.685 0.677  0.03
P 0.333 0.667 0.739  0.01
P 0.667 0.333 0.261  0.01
Ni 0.000 0.000 0.500  0.61
Ac 0.000 0.000 0.000  0.00

Results
total magnetic moment: 1.03 Bohr magnetons per cell
formation energy without anion corrections: -590 meV/atom
symmetry: P-3 (147)

=====

2.
TbBeF after structural relaxation, computed with PBE-GGA.

Cell: 2.902 4.055 8.971 Å, 90.00 90.00 110.97°
Element x y z (fractional)
Tb 0.353 0.706 0.222
Tb 0.353 0.706 0.778
Be 0.643 0.286 0.000
Be 0.050 0.099 0.500
F 0.634 0.268 0.371
F 0.634 0.268 0.629

Results
total magnetic moment: 0.00 Bohr magnetons per cell
formation energy without anion corrections: -875 meV/atom
symmetry: Amm2 (38)

=====

3.
Cr3CoAu after structural relaxation, computed with PBE-GGA.

Cell: 4.574 4.574 4.574 Å, 90.00 90.00 90.00°
Element x y z (fractional)
Au 0.000 0.000 0.000
Cr 0.000 0.000 0.500
Cr 0.000 0.500 0.000
Cr 0.500 0.000 0.000
Co 0.500 0.500 0.500

Results
ΔE_f: 2.516 eV per atom
total magnetic moment: 0.00 Bohr magnetons per cell
symmetry: Pm-3m (221)

=====

4.
Ac3NiRu after structural relaxation, computed with PBE-GGA.

Cell: 4.359 7.319 11.060 Å, 76.55 78.64 72.68°
Element x y z (fractional)
Ac 0.001 0.250 0.748
Ac 0.324 0.262 0.090
Ac 0.676 0.738 0.910
Ac 0.999 0.750 0.252
Ac 0.682 0.227 0.410
Ac 0.318 0.773 0.590
Ni 0.659 0.516 0.166
Ni 0.341 0.484 0.834
Ru 0.351 0.981 0.317
Ru 0.649 0.019 0.683

Results
ΔE_f: -0.181 eV per atom
total magnetic moment: 0.00 Bohr magnetons per cell
symmetry: C2/m (12)

=====

5.
YGa2As after structural relaxation, computed with PBE-GGA.

Cell: 4.638 4.191 4.191 Å, 90.00 90.00 90.00°
Element x y z (fractional)
As 0.500 0.500 0.500
Ga 0.000 0.000 0.500
Ga 0.000 0.500 0.000
Y 0.500 0.000 0.000

Results
ΔE_f: -0.573 eV per atom
total magnetic moment: 0.00 Bohr magnetons per cell
symmetry: P4/mmm (123)

=====

6.
Na3CaPu2S6 after structural relaxation, computed with PBE-GGA.

Cell: 6.984 6.984 7.018 Å, 99.58 99.58 120.00°
Each line ends with the local moment (μB).
Element x y z (fractional)
S 0.730 0.730 0.227  -0.10
S 0.270 0.270 0.773  -0.10
S 0.579 0.925 0.775  -0.10
S 0.421 0.075 0.225  -0.10
S 0.075 0.421 0.225  -0.10
S 0.925 0.579 0.775  -0.10
Na 0.835 0.165 0.500  0.00
Na 0.165 0.835 0.500  0.00
Na 0.500 0.500 0.500  0.00
Pu 0.333 0.667 0.000  4.78
Pu 0.667 0.333 0.000  4.78
Ca 0.000 0.000 0.000  0.01

Results
total magnetic moment: 9.00 Bohr magnetons per cell
formation energy without anion corrections: -1579 meV/atom
symmetry: C2/m (12)

=====

7.
HfBeIn2Ru after structural relaxation, computed with PBE-GGA.

Cell: 5.642 4.655 5.642 Å, 90.00 90.00 90.00°
Element x y z (fractional)
Ru 0.000 0.500 0.000
Be 0.500 0.500 0.500
In 0.500 0.000 0.000
In 0.000 0.000 0.500
Hf 0.000 0.000 0.000

Results
ΔE_f: 1.393 eV per atom
total magnetic moment: 0.00 Bohr magnetons per cell
symmetry: P4/mmm (123)

=====

8.
PrGd2Hg after structural relaxation, computed with PBE-GGA.

Cell: 5.463 5.463 5.463 Å, 60.00 60.00 60.00°
Each line ends with the local moment (μB).
Element x y z (fractional)
Gd 0.750 0.750 0.750  7.42
Gd 0.250 0.250 0.250  7.42
Hg 0.500 0.500 0.500  -0.01
Pr 0.000 0.000 0.000  0.62

Results
ΔE_f: -0.092 eV per atom
total magnetic moment: 16.72 Bohr magnetons per cell
symmetry: Fm-3m (225)

=====

9.
MgHg3Rh after structural relaxation, computed with PBE-GGA.

Cell: 5.232 5.232 5.232 Å, 90.00 90.00 90.00°
Element x y z (fractional)
Mg 0.500 0.500 0.500
Hg 0.500 0.000 0.000
Hg 0.000 0.500 0.000
Hg 0.000 0.000 0.500
Rh 0.000 0.000 0.000

Results
ΔE_f: 0.246 eV per atom
total magnetic moment: 0.00 Bohr magnetons per cell
symmetry: Pm-3m (221)

=====

10.
KNd2Tm after structural relaxation, computed with PBE-GGA.

Cell: 3.642 3.642 13.555 Å, 82.28 82.28 60.00°
Element x y z (fractional)
Tm 0.500 0.500 0.500
Nd 0.096 0.096 0.711
Nd 0.904 0.904 0.289
K 0.000 0.000 0.000

Results
ΔE_f: 0.193 eV per atom
total magnetic moment: 0.00 Bohr magnetons per cell
symmetry: R-3m (166)

=====

11.
Li4Ac3Pb4 after structural relaxation, computed with PBE-GGA.

Cell: 4.971 7.662 9.368 Å, 114.14 105.39 90.00°
Element x y z (fractional)
Pb 0.500 0.800 0.000
Pb 0.215 0.715 0.430
Pb 0.785 0.285 0.570
Pb 0.500 0.200 0.000
Li 0.329 0.514 0.658
Li 0.671 0.857 0.342
Li 0.329 0.143 0.658
Li 0.671 0.486 0.342
Ac 0.000 0.500 0.000
Ac 0.131 0.131 0.261
Ac 0.869 0.869 0.739

Results
ΔE_f: -0.519 eV per atom
total magnetic moment: 0.00 Bohr magnetons per cell
symmetry: Immm (71)

=====

12.
Na2Dy2US6 after structural relaxation, computed with PBE-GGA.

Cell: 6.910 6.910 7.109 Å, 99.33 99.33 119.93°
Each line ends with the local moment (μB).
Element x y z (fractional)
Na 0.831 0.169 0.000  0.00
Na 0.169 0.831 0.000  0.00
Dy 0.666 0.334 0.500  0.02
Dy 0.334 0.666 0.500  0.02
S 0.931 0.598 0.280  -0.02
S 0.251 0.251 0.280  -0.03
S 0.069 0.402 0.720  -0.02
S 0.749 0.749 0.720  -0.03
S 0.598 0.931 0.280  -0.02
S 0.402 0.069 0.720  -0.02
U 0.000 0.000 0.500  2.01

Results
total magnetic moment: 2.00 Bohr magnetons per cell
formation energy without anion corrections: -1695 meV/atom
symmetry: C2/m (12)

=====

13.
SbH3S after structural relaxation, computed with PBE-GGA.

Cell: 3.890 3.890 3.890 Å, 90.00 90.00 90.00°
Each line ends with the local moment (μB).
Element x y z (fractional)
Sb 0.000 0.000 0.000  -0.02
H 0.000 0.000 0.500  0.00
H 0.500 0.000 0.000  0.02
H 0.000 0.500 0.000  0.01
S 0.500 0.500 0.500  0.23

Results
total magnetic moment: 0.37 Bohr magnetons per cell
total DFT energy (no corrections): -2.953 eV per atom
symmetry: Pm-3m (221)

=====

14.
Ac6LaPt2 after structural relaxation, computed with PBE-GGA.

Cell: 5.995 7.305 10.142 Å, 70.56 72.81 65.77°
Element x y z (fractional)
Ac 0.004 0.185 0.808
Ac 0.691 0.722 0.896
Ac 0.670 0.232 0.428
Ac 0.996 0.815 0.192
Ac 0.309 0.278 0.104
Ac 0.330 0.768 0.572
Pt 0.813 0.276 0.099
Pt 0.187 0.724 0.901
La 0.000 0.500 0.500

Results
ΔE_f: -0.330 eV per atom
total magnetic moment: 0.00 Bohr magnetons per cell
symmetry: C2/m (12)

=====

15.
Al2CoPb after structural relaxation, computed with PBE-GGA.

Cell: 9.123 9.123 9.123 Å, 19.52 19.52 19.52°
Element x y z (fractional)
Al 0.522 0.522 0.522
Al 0.978 0.978 0.978
Co 0.250 0.250 0.250
Pb 0.750 0.750 0.750

Results
ΔE_f: 0.123 eV per atom
total magnetic moment: 0.00 Bohr magnetons per cell
symmetry: R-3m (166)

=====

16.
Hf6CuIr2 after structural relaxation, computed with PBE-GGA.

Cell: 5.737 7.096 8.833 Å, 90.00 88.64 90.00°
Element x y z (fractional)
Hf 0.820 0.934 0.242
Hf 0.856 0.727 0.930
Hf 0.163 0.356 0.450
Hf 0.356 0.773 0.430
Hf 0.144 0.273 0.070
Hf 0.180 0.066 0.758
Hf 0.680 0.434 0.258
Hf 0.337 0.856 0.050
Hf 0.320 0.566 0.742
Hf 0.663 0.144 0.950
Hf 0.644 0.227 0.570
Hf 0.837 0.644 0.550
Ir 0.589 0.897 0.711
Ir 0.089 0.603 0.211
Ir 0.411 0.103 0.289
Ir 0.911 0.397 0.789
Cu 0.000 0.000 0.500
Cu 0.500 0.500 0.000

Results
ΔE_f: -0.374 eV per atom
total magnetic moment: 0.00 Bohr magnetons per cell
symmetry: P2_1/c (14)

=====

17.
SmHoCuRh after structural relaxation, computed with PBE-GGA.

Cell: 4.923 4.923 4.923 Å, 60.00 60.00 60.00°
Element x y z (fractional)
Sm 0.250 0.250 0.250
Rh 0.000 0.000 0.000
Ho 0.750 0.750 0.750
Cu 0.500 0.500 0.500

Results
ΔE_f: -0.519 eV per atom
total magnetic moment: 0.00 Bohr magnetons per cell
symmetry: F-43m (216)

=====

18.
Ti2Tc2Ir after structural relaxation, computed with PBE-GGA.

Cell: 7.092 7.092 3.099 Å, 90.00 90.00 90.00°
Element x y z (fractional)
Ti 0.810 0.310 0.500
Ti 0.690 0.810 0.500
Ti 0.310 0.190 0.500
Ti 0.190 0.690 0.500
Ir 0.500 0.500 0.000
Ir 0.000 0.000 0.000
Tc 0.880 0.620 0.000
Tc 0.380 0.880 0.000
Tc 0.620 0.120 0.000
Tc 0.120 0.380 0.000

Results
ΔE_f: -0.079 eV per atom
total magnetic moment: 0.00 Bohr magnetons per cell
symmetry: P4/mbm (127)

=====

19.
NaLi2Ag after structural relaxation, computed with PBE-GGA.

Cell: 4.197 4.197 10.468 Å, 78.44 78.44 90.00°
Element x y z (fractional)
Ag 0.750 0.250 0.500
Ag 0.000 0.000 0.000
Li 0.659 0.125 0.250
Li 0.375 0.341 0.750
Li 0.091 0.625 0.250
Li 0.875 0.909 0.750
Na 0.250 0.750 0.500
Na 0.500 0.500 0.000

Results
ΔE_f: 0.076 eV per atom
total magnetic moment: 0.00 Bohr magnetons per cell
symmetry: I-42d (122)

=====

20.
Sc2GaC after structural relaxation, computed with PBE-GGA.

Cell: 3.305 3.305 14.749 Å, 90.00 90.00 120.00°
Element x y z (fractional)
Sc 0.667 0.333 0.916
Sc 0.333 0.667 0.084
Sc 0.333 0.667 0.416
Sc 0.667 0.333 0.584
C 0.000 0.000 0.500
C 0.000 0.000 0.000
Ga 0.667 0.333 0.250
Ga 0.333 0.667 0.750

Results
ΔE_f: -0.533 eV per atom
total magnetic moment: 0.00 Bohr magnetons per cell
symmetry: P6_3/mmc (194)